The following is a PBE calculation of a relaxed structure of PdAu, from the Alexandria database.

* electronic total energy: -4.170 eV/atom
* volume: 286.1 Å³/cell
* energy relative to the elements: 0.07 eV/atom

Lattice parameters (Å, degrees): 8.340 8.340 4.113 90.00 90.00 90.00
Space group I4/mmm (No. 139)
Inequivalent atoms, fractional coordinates:
Pd (0.164, 0.164, 0.000) (multiplicity 8)
Au (0.000, 0.320, 0.500) (multiplicity 8)